DFT (PBE with a Hubbard U) results for crystalline GaWNF2 at its relaxed geometry. Values from VASP.

```
&SYSTEM
  ibrav = 0, nat = 5, ntyp = 4
/
ATOMIC_SPECIES
Ga 69.72 Ga.upf
W 183.84 W.upf
N 14.01 N.upf
F 19.00 F.upf
CELL_PARAMETERS angstrom
3.8868 0.0000 0.0000
0.0000 3.8868 0.0000
0.0000 0.0000 4.1154
ATOMIC_POSITIONS crystal
Ga 0.0000 0.0000 0.0000
W 0.5000 0.5000 0.5000
N 0.0000 0.0000 0.5000
F 0.0000 0.5000 0.0000
F 0.5000 0.0000 0.0000
```

- energy above the lowest structure with this stoichiometry (eV/atom) = 0.469
- size of the total moment (Bohr magnetons per cell) = 4.00
- E (eV/atom) = -4.997
- space group = P4/mmm (123)
- crystal system = tetragonal